Entry 1:
First-principles (PBE-GGA) data for a relaxed structure of ErAlNiRu, as listed in Alexandria.

a b c (Å): 4.4799 4.4799 4.4799
angles (deg): 60.00 60.00 60.00
Element x y z (fractional)
1 Er 0.0000 0.0000 0.0000
2 Al 0.5000 0.5000 0.5000
3 Ni 0.7500 0.7500 0.7500
4 Ru 0.2500 0.2500 0.2500

Calculated values
**ΔE_f**: -0.48 eV per atom
**Crystal system**: cubic
**Space-group type**: F-43m (216)



Entry 2:
First-principles (PBE-GGA) data for a relaxed structure of Sr3TlFe, as listed in Alexandria.

a b c (Å): 5.6917 5.6917 5.6917
angles (deg): 90.00 90.00 90.00
Element x y z (fractional)
1 Sr 0.0000 0.0000 0.5000
2 Sr 0.0000 0.5000 0.0000
3 Sr 0.5000 0.0000 0.0000
4 Tl 0.5000 0.5000 0.5000
5 Fe 0.0000 0.0000 0.0000

Calculated values
**ΔE_f**: 0.40 eV per atom
**Crystal system**: cubic
**Space-group type**: Pm-3m (221)
**Excess energy over the best structure of this formula in the dataset**: 0 meV/atom



Entry 3:
First-principles (PBE-GGA) data for a relaxed structure of BiTeO5, as listed in Alexandria.

a b c (Å): 6.5763 6.5763 6.5763
angles (deg): 118.74 116.18 94.47
Element x y z (fractional)
1 Bi 0.3374 0.0874 0.2500
2 Bi 0.6626 0.9126 0.7500
3 Te 0.0000 0.5000 0.5000
4 Te 0.5000 0.5000 0.0000
5 O 0.0000 0.2008 0.2008
6 O 0.0000 0.7992 0.7992
7 O 0.0988 0.6980 0.4008
8 O 0.2028 0.3020 0.9008
9 O 0.3597 0.6097 0.7500
10 O 0.5000 0.2008 0.7008
11 O 0.5000 0.7992 0.2992
12 O 0.6403 0.3903 0.2500
13 O 0.7972 0.6980 0.0992
14 O 0.9012 0.3020 0.5992

Calculated values
**Crystal system**: orthorhombic
**Space-group type**: Imma (74)
**Uncorrected formation energy**: -699 meV per atom
**Excess energy over the best structure of this formula in the dataset**: 0 meV/atom



Entry 4:
First-principles (PBE-GGA) data for a relaxed structure of TaCdP, as listed in Alexandria.

a b c (Å): 7.1337 7.1337 4.8236
angles (deg): 100.93 100.93 28.22
Element x y z (fractional)
1 Ta 0.0000 0.0000 0.0000
2 Ta 0.5000 0.5000 0.5000
3 Cd 0.1755 0.1755 0.7195
4 Cd 0.8245 0.8245 0.2805
5 P 0.3681 0.3681 0.8066
6 P 0.6319 0.6319 0.1934

Calculated values
**ΔE_f**: -0.10 eV per atom
**Crystal system**: monoclinic
**Space-group type**: C2/m (12)
**Excess energy over the best structure of this formula in the dataset**: 271 meV/atom